A plane-wave DFT calculation with PBE was carried out for TlHg5Pb after structural relaxation.

```
data_TlHg5Pb
_chemical_formula_sum 'Tl1 Hg5 Pb1'
_symmetry_space_group_name_H-M 'P 4/m m m'
_symmetry_Int_Tables_number 123
_symmetry_space_group_name_Hall '-P 4 2'
_cell_length_a 4.664
_cell_length_b 4.664
_cell_length_c 9.522
_cell_angle_alpha 90.00
_cell_angle_beta 90.00
_cell_angle_gamma 90.00
loop_
_atom_site_label
_atom_site_type_symbol
_atom_site_fract_x
_atom_site_fract_y
_atom_site_fract_z
_atom_site_occupancy
Tl1 Tl 0.000 0.000 0.000 1
Hg1 Hg 0.000 0.000 0.500 1
Hg2 Hg 0.000 0.500 0.238 1
Pb1 Pb 0.500 0.500 0.500 1
```

Computed properties:
Energy of formation from the pure elements   0.04 eV per atom


A plane-wave DFT calculation with PBE was carried out for TiMnSn2 after structural relaxation.

```
data_TiMnSn2
_chemical_formula_sum 'Ti4 Mn4 Sn8'
_symmetry_space_group_name_H-M 'I -4 2 d'
_symmetry_Int_Tables_number 122
_symmetry_space_group_name_Hall 'I -4 2bw'
_cell_length_a 4.230
_cell_length_b 4.230
_cell_length_c 19.535
_cell_angle_alpha 90.00
_cell_angle_beta 90.00
_cell_angle_gamma 90.00
loop_
_atom_site_label
_atom_site_type_symbol
_atom_site_fract_x
_atom_site_fract_y
_atom_site_fract_z
_atom_site_occupancy
Ti1 Ti 0.000 0.000 0.000 1
Mn1 Mn 0.000 0.000 0.500 1
Sn1 Sn 0.246 0.250 0.625 1
```

Computed properties:
Energy of formation from the pure elements   0.32 eV per atom


A plane-wave DFT calculation with PBE was carried out for Sc3Tc after structural relaxation.

```
data_Sc3Tc
_chemical_formula_sum 'Sc6 Tc2'
_symmetry_space_group_name_H-M 'I m m m'
_symmetry_Int_Tables_number 71
_symmetry_space_group_name_Hall '-I 2 2'
_cell_length_a 3.395
_cell_length_b 4.939
_cell_length_c 9.868
_cell_angle_alpha 90.00
_cell_angle_beta 90.00
_cell_angle_gamma 90.00
loop_
_atom_site_label
_atom_site_type_symbol
_atom_site_fract_x
_atom_site_fract_y
_atom_site_fract_z
_atom_site_occupancy
Sc1 Sc 0.000 0.000 0.000 1
Sc2 Sc 0.000 0.500 0.207 1
Tc1 Tc 0.000 0.000 0.500 1
```

Computed properties:
Energy of formation from the pure elements   -0.13 eV per atom


A plane-wave DFT calculation with PBE was carried out for MgPt2W after structural relaxation.

```
data_MgPt2W
_chemical_formula_sum 'Mg3 Pt6 W3'
_symmetry_space_group_name_H-M 'R 3 m'
_symmetry_Int_Tables_number 160
_symmetry_space_group_name_Hall 'R 3 -2"'
_cell_length_a 2.8417
_cell_length_b 2.8417
_cell_length_c 27.7424
_cell_angle_alpha 90.00
_cell_angle_beta 90.00
_cell_angle_gamma 120.00
loop_
_atom_site_label
_atom_site_type_symbol
_atom_site_fract_x
_atom_site_fract_y
_atom_site_fract_z
_atom_site_occupancy
Mg1 Mg 0.0000 0.0000 0.0000 1
Pt1 Pt 0.0000 0.0000 0.4996 1
Pt2 Pt 0.0000 0.0000 0.7457 1
W1 W 0.0000 0.0000 0.2445 1
```

Computed properties:
Energy of formation from the pure elements   -0.12 eV per atom


A plane-wave DFT calculation with PBE was carried out for ErGa12Pt6 after structural relaxation.

```
data_ErGa12Pt6
_chemical_formula_sum 'Er3 Ga36 Pt18'
_symmetry_space_group_name_H-M 'R -3 m'
_symmetry_Int_Tables_number 166
_symmetry_space_group_name_Hall '-R 3 2"'
_cell_length_a 11.4421
_cell_length_b 11.4421
_cell_length_c 8.7677
_cell_angle_alpha 90.00
_cell_angle_beta 90.00
_cell_angle_gamma 120.00
loop_
_atom_site_label
_atom_site_type_symbol
_atom_site_fract_x
_atom_site_fract_y
_atom_site_fract_z
_atom_site_occupancy
Er1 Er 0.0000 0.0000 0.0000 1
Ga1 Ga 0.0000 0.3886 0.5000 1
Ga2 Ga 0.0836 0.1672 0.3078 1
Pt1 Pt 0.0471 0.5235 0.2396 1
```

Computed properties:
Energy of formation from the pure elements   -0.55 eV per atom


A plane-wave DFT calculation with PBE was carried out for Pr8SmEr5 after structural relaxation.

```
data_Pr8SmEr5
_chemical_formula_sum 'Pr16 Sm2 Er10'
_symmetry_space_group_name_H-M 'I -4'
_symmetry_Int_Tables_number 82
_cell_length_a 9.715
_cell_length_b 9.715
_cell_length_c 10.403
_cell_angle_alpha 90.00
_cell_angle_beta 90.00
_cell_angle_gamma 90.00
loop_
_symmetry_equiv_pos_as_xyz
'x,y,z'
'y,-x,-z'
'-x,-y,z'
'-y,x,-z'
'x+1/2,y+1/2,z+1/2'
'y+1/2,-x+1/2,-z+1/2'
'-x+1/2,-y+1/2,z+1/2'
'-y+1/2,x+1/2,-z+1/2'
loop_
_atom_site_label
_atom_site_type_symbol
_atom_site_fract_x
_atom_site_fract_y
_atom_site_fract_z
_atom_site_occupancy
Pr1 Pr 0.068 0.172 0.347 1
Pr2 Pr 0.091 0.321 0.002 1
Sm1 Sm 0.000 0.000 0.000 1
Er1 Er 0.000 0.500 0.250 1
Er2 Er 0.109 0.298 0.677 1
```

Computed properties:
Energy of formation from the pure elements   0.24 eV per atom


| no. | total moment (μB per formula unit) |
| --- | --- |
| 1 | 0.0 |
| 2 | 2.1 |
| 3 | 0.0 |
| 4 | 0.0 |
| 5 | 0.0 |
| 6 | 0.0 |